PBE with a Hubbard U Na3LiMnBPO7, relaxed; space group = P1, No. 1; total energy = -179.45 eV per cell; excess energy over the best structure of this formula in the dataset = 0 meV/atom; mass density = 2.63 Mg/m³
1.0
5.329 0.000 0.000
0.001 6.314 0.000
1.251 0.037 10.699
Na Li Mn B P O
6 2 2 2 2 14
direct
0.000 0.000 0.000
0.004 0.474 0.040
0.063 0.674 0.787
0.521 0.179 0.824
0.580 0.971 0.572
0.584 0.497 0.609
0.619 0.518 0.355
0.965 0.018 0.255
0.102 0.240 0.493
0.482 0.744 0.118
0.060 0.241 0.731
0.525 0.741 0.879
0.110 0.724 0.395
0.474 0.225 0.215
0.052 0.262 0.858
0.146 0.735 0.249
0.222 0.198 0.159
0.292 0.234 0.653
0.292 0.738 0.957
0.363 0.696 0.450
0.438 0.234 0.361
0.533 0.755 0.752
0.612 0.438 0.173
0.657 0.037 0.172
0.738 0.739 0.944
0.846 0.236 0.667
0.927 0.535 0.438
0.972 0.936 0.437